Material: KErMoO5
Method: DFT, PBE with a Hubbard U
State: relaxed

As for the total moment: 0.00 μB per formula unit. As for the space-group type: C2/c. The calculation puts the total DFT energy (no corrections) at -6.9938 eV per atom.

a b c (Å): 6.355 6.355 8.068
angles (deg): 104.39 104.39 105.37
Positions (direct):
1 O 0.066 0.934 0.250
2 O 0.874 0.303 0.120
3 O 0.303 0.874 0.620
4 O 0.392 0.239 0.099
5 O 0.239 0.392 0.599
6 O 0.608 0.761 0.901
7 O 0.126 0.697 0.880
8 O 0.761 0.608 0.401
9 O 0.697 0.126 0.380
10 O 0.934 0.066 0.750
11 Er 0.000 0.000 0.000
12 Er 0.000 0.000 0.500
13 Mo 0.682 0.318 0.250
14 Mo 0.318 0.682 0.750
15 K 0.682 0.318 0.750
16 K 0.318 0.682 0.250